The following is a GGA-PBE calculation of a relaxed structure of Th2Ge4Os3, from the Alexandria database.

Lattice parameters (Å, degrees): 8.0215 6.9139 5.6843 78.43 57.61 43.97
Fractional positions:
Th  0.1303  0.1303  0.8697
Th  0.8697  0.8697  0.1303
Ge  0.1770  0.5117  0.4883
Ge  0.4883  0.8230  0.1770
Ge  0.5117  0.1770  0.8230
Ge  0.8230  0.4883  0.5117
Os  0.0000  0.0000  0.5000
Os  0.5000  0.5000  0.0000
Os  0.5000  0.5000  0.5000

Values from the calculation:
Total magnetization in μB per cell: 0.0
Energy relative to the elements in eV per atom: -0.364
SG: Fmmm, No. 69
Crystal system: orthorhombic

The following is a GGA-PBE calculation of a relaxed structure of SrDyPdAu, from the Alexandria database.

Lattice parameters (Å, degrees): 5.1662 5.1662 5.1662 60.00 60.00 60.00
Fractional positions:
Sr  0.0000  0.0000  0.0000
Dy  0.5000  0.5000  0.5000
Pd  0.7500  0.7500  0.7500
Au  0.2500  0.2500  0.2500

Values from the calculation:
Total magnetization in μB per cell: 0.0
Energy relative to the elements in eV per atom: -0.674
SG: F-43m, No. 216
Crystal system: cubic

The following is a GGA-PBE calculation of a relaxed structure of CsTm2AgTe4, from the Alexandria database.

Lattice parameters (Å, degrees): 8.0710 8.0710 15.8421 90.00 90.00 147.74
Fractional positions:
Cs  0.1217  0.8783  0.7500
Cs  0.8783  0.1217  0.2500
Tm  0.3706  0.6294  0.5677
Tm  0.3706  0.6294  0.9323
Tm  0.6294  0.3706  0.0677
Tm  0.6294  0.3706  0.4323
Ag  0.1666  0.8334  0.2500
Ag  0.8334  0.1666  0.7500
Te  0.0000  0.0000  0.0000
Te  0.0000  0.0000  0.5000
Te  0.2585  0.7415  0.0980
Te  0.2585  0.7415  0.4020
Te  0.4381  0.5619  0.7500
Te  0.5619  0.4381  0.2500
Te  0.7415  0.2585  0.5980
Te  0.7415  0.2585  0.9020

Values from the calculation:
Total magnetization in μB per cell: 0.0
Formation energy without anion corrections in eV/atom: -1.09
SG: Cmcm, No. 63
Crystal system: orthorhombic

The following is a GGA-PBE calculation of a relaxed structure of Zn4Ag3Au, from the Alexandria database.

Lattice parameters (Å, degrees): 9.1375 5.7445 4.9683 90.00 90.00 90.00
Fractional positions:
Zn  0.0000  0.1145  0.0000
Zn  0.0000  0.6361  0.9907
Zn  0.2486  0.1281  0.3224
Zn  0.2514  0.8719  0.8224
Zn  0.5000  0.3639  0.4907
Zn  0.5000  0.8855  0.5000
Zn  0.7486  0.8719  0.8224
Zn  0.7514  0.1281  0.3224
Ag  0.0000  0.3834  0.4586
Ag  0.2399  0.3642  0.8266
Ag  0.2601  0.6358  0.3266
Ag  0.5000  0.6166  0.9586
Ag  0.7399  0.6358  0.3266
Ag  0.7601  0.3642  0.8266
Au  0.0000  0.8889  0.5151
Au  0.5000  0.1111  0.0151

Values from the calculation:
Total magnetization in μB per cell: 0.0
Energy relative to the elements in eV per atom: -0.069
SG: Pmn2_1, No. 31
Crystal system: orthorhombic

The following is a GGA-PBE calculation of a relaxed structure of TaZn3N, from the Alexandria database.

Lattice parameters (Å, degrees): 5.0451 5.0451 5.0451 90.00 90.00 90.00
Fractional positions:
Ta  0.0000  0.0000  0.0000
Zn  0.0000  0.0000  0.5000
Zn  0.0000  0.5000  0.0000
Zn  0.5000  0.0000  0.0000
N  0.5000  0.5000  0.5000

Values from the calculation:
Total magnetization in μB per cell: 0.0
Formation energy without anion corrections in eV/atom: 2.27
SG: Pm-3m, No. 221
Crystal system: cubic

The following is a GGA-PBE calculation of a relaxed structure of Sm6AlCd, from the Alexandria database.

Lattice parameters (Å, degrees): 4.8854 4.8854 9.7693 90.00 90.00 90.00
Fractional positions:
Sm  0.0000  0.0000  0.0000
Sm  0.0000  0.0000  0.5000
Sm  0.0000  0.5000  0.2429
Sm  0.0000  0.5000  0.7571
Sm  0.5000  0.0000  0.2429
Sm  0.5000  0.0000  0.7571
Al  0.5000  0.5000  0.0000
Cd  0.5000  0.5000  0.5000

Values from the calculation:
Total magnetization in μB per cell: 0.0
Energy relative to the elements in eV per atom: -0.135
SG: P4/mmm, No. 123
Crystal system: tetragonal

The following is a GGA-PBE calculation of a relaxed structure of Mn2CuTc, from the Alexandria database.

Lattice parameters (Å, degrees): 2.5954 2.5954 7.4943 90.00 90.00 90.00
Fractional positions:
Mn  0.0000  0.0000  0.0000
Mn  0.5000  0.5000  0.2249
Cu  0.5000  0.5000  0.7514
Tc  0.0000  0.0000  0.4838

Values from the calculation:
Total magnetization in μB per cell: 0.9
Energy relative to the elements in eV per atom: 0.166
SG: P4mm, No. 99
Crystal system: tetragonal

The following is a GGA-PBE calculation of a relaxed structure of HgOF, from the Alexandria database.

Lattice parameters (Å, degrees): 4.3115 4.3115 4.3115 126.42 126.42 79.20
Fractional positions:
Hg  0.0000  0.0000  0.0000
O  0.3009  0.3009  0.0000
F  0.6937  0.6937  0.0000

Values from the calculation:
Total magnetization in μB per cell: 1.0
Formation energy without anion corrections in eV/atom: -0.24
SG: I4mm, No. 107
Crystal system: tetragonal

The following is a GGA-PBE calculation of a relaxed structure of ZnAuSe2, from the Alexandria database.

Lattice parameters (Å, degrees): 2.8868 2.8868 9.9658 90.00 90.00 99.50
Fractional positions:
Zn  0.0000  0.0000  0.0000
Au  0.5000  0.5000  0.8102
Se  0.0000  0.0000  0.5533
Se  0.5000  0.5000  0.1997

Values from the calculation:
Total magnetization in μB per cell: 0.0
Formation energy without anion corrections in eV/atom: 0.14
SG: Cmm2, No. 35
Crystal system: orthorhombic

The following is a GGA-PBE calculation of a relaxed structure of La2AlGe6Rh, from the Alexandria database.

Lattice parameters (Å, degrees): 12.6370 12.6370 12.6370 29.36 29.36 29.36
Fractional positions:
La  0.1206  0.1206  0.1206
La  0.2939  0.2939  0.2939
La  0.7061  0.7061  0.7061
La  0.8794  0.8794  0.8794
Al  0.0000  0.0000  0.0000
Al  0.5000  0.5000  0.5000
Ge  0.0592  0.6641  0.6641
Ge  0.2358  0.2358  0.6539
Ge  0.2358  0.6539  0.2358
Ge  0.3359  0.3359  0.9408
Ge  0.3359  0.9408  0.3359
Ge  0.3461  0.7642  0.7642
Ge  0.6539  0.2358  0.2358
Ge  0.6641  0.0592  0.6641
Ge  0.6641  0.6641  0.0592
Ge  0.7642  0.3461  0.7642
Ge  0.7642  0.7642  0.3461
Ge  0.9408  0.3359  0.3359
Rh  0.4322  0.4322  0.4322
Rh  0.5678  0.5678  0.5678

Values from the calculation:
Total magnetization in μB per cell: 0.0
Energy relative to the elements in eV per atom: -0.443
SG: R-3m, No. 166
Crystal system: trigonal

The following is a GGA-PBE calculation of a relaxed structure of BaSr2Li, from the Alexandria database.

Lattice parameters (Å, degrees): 4.7442 6.4584 6.5650 90.00 90.00 90.00
Fractional positions:
Ba  0.0000  0.0000  0.0000
Sr  0.0000  0.5000  0.5000
Sr  0.5000  0.0000  0.5000
Li  0.5000  0.5000  0.0000

Values from the calculation:
Total magnetization in μB per cell: 0.0
Energy relative to the elements in eV per atom: 0.080
SG: Pmmm, No. 47
Crystal system: orthorhombic

The following is a GGA-PBE calculation of a relaxed structure of Nb3RuBr, from the Alexandria database.

Lattice parameters (Å, degrees): 4.6735 4.6735 4.6735 90.00 90.00 90.00
Fractional positions:
Nb  0.0000  0.0000  0.5000
Nb  0.0000  0.5000  0.0000
Nb  0.5000  0.0000  0.0000
Ru  0.5000  0.5000  0.5000
Br  0.0000  0.0000  0.0000

Values from the calculation:
Total magnetization in μB per cell: 0.0
Formation energy without anion corrections in eV/atom: 1.41
SG: Pm-3m, No. 221
Crystal system: cubic

The following is a GGA-PBE calculation of a relaxed structure of Pm2PaCu, from the Alexandria database.

Lattice parameters (Å, degrees): 3.4800 3.4800 8.4655 90.00 90.00 90.00
Fractional positions:
Pm  0.0000  0.0000  0.2180
Pm  0.0000  0.0000  0.7820
Pa  0.5000  0.5000  0.5000
Cu  0.5000  0.5000  0.0000

Values from the calculation:
Total magnetization in μB per cell: 0.0
Energy relative to the elements in eV per atom: 0.066
SG: P4/mmm, No. 123
Crystal system: tetragonal

The following is a GGA-PBE calculation of a relaxed structure of VP3Os, from the Alexandria database.

Lattice parameters (Å, degrees): 4.5996 4.5996 4.5996 90.00 90.00 90.00
Fractional positions:
V  0.0000  0.0000  0.0000
P  0.0000  0.5000  0.5000
P  0.5000  0.0000  0.5000
P  0.5000  0.5000  0.0000
Os  0.5000  0.5000  0.5000

Values from the calculation:
Total magnetization in μB per cell: 3.6
Energy relative to the elements in eV per atom: 0.927
SG: Pm-3m, No. 221
Crystal system: cubic

The following is a GGA-PBE calculation of a relaxed structure of SrLiSn2Te4, from the Alexandria database.

Lattice parameters (Å, degrees): 9.0218 9.0218 9.0218 120.06 119.78 90.14
Fractional positions:
Sr  0.5000  0.0000  0.0000
Sr  0.5000  0.5000  0.5000
Li  0.0000  0.0000  0.0000
Li  0.5000  0.0000  0.5000
Sn  0.0000  0.0000  0.5000
Sn  0.0000  0.5000  0.0000
Sn  0.0000  0.5000  0.5000
Sn  0.5000  0.5000  0.0000
Te  0.2369  0.2462  0.9908
Te  0.2448  0.2414  0.4966
Te  0.2448  0.7482  0.0034
Te  0.2446  0.7538  0.4908
Te  0.7554  0.2462  0.5092
Te  0.7552  0.2518  0.9966
Te  0.7552  0.7586  0.5034
Te  0.7631  0.7538  0.0092

Values from the calculation:
Total magnetization in μB per cell: 0.0
Formation energy without anion corrections in eV/atom: -0.69
SG: Imma, No. 74
Crystal system: orthorhombic

The following is a GGA-PBE calculation of a relaxed structure of La3H2, from the Alexandria database.

Lattice parameters (Å, degrees): 7.0838 7.0838 7.0838 55.43 55.43 55.43
Fractional positions:
La  0.0839  0.7500  0.4161
La  0.2500  0.5839  0.9161
La  0.4161  0.0839  0.7500
La  0.5839  0.9161  0.2500
La  0.7500  0.4161  0.0839
La  0.9161  0.2500  0.5839
H  0.1668  0.1668  0.1668
H  0.3332  0.3332  0.3332
H  0.6668  0.6668  0.6668
H  0.8332  0.8332  0.8332

Values from the calculation:
Total magnetization in μB per cell: 0.0
Calculated total energy in eV for the cell shown: -45.77
SG: R-3c, No. 167
Crystal system: trigonal

The following is a GGA-PBE calculation of a relaxed structure of BeTl2ZnSb, from the Alexandria database.

Lattice parameters (Å, degrees): 5.2061 5.2061 4.4742 90.00 90.00 90.00
Fractional positions:
Be  0.0000  0.0000  0.0000
Tl  0.0000  0.5000  0.0000
Tl  0.5000  0.0000  0.0000
Zn  0.0000  0.0000  0.5000
Sb  0.5000  0.5000  0.5000

Values from the calculation:
Total magnetization in μB per cell: 0.0
Formation energy without anion corrections in eV/atom: 0.38
SG: P4/mmm, No. 123
Crystal system: tetragonal

The following is a GGA-PBE calculation of a relaxed structure of YErIn2, from the Alexandria database.

Lattice parameters (Å, degrees): 5.5255 5.5255 3.5096 90.00 90.00 102.13
Fractional positions:
Y  0.0000  0.0000  0.0000
Er  0.5000  0.5000  0.0000
In  0.0000  0.5000  0.5000
In  0.5000  0.0000  0.5000

Values from the calculation:
Total magnetization in μB per cell: 0.0
Energy relative to the elements in eV per atom: -0.470
SG: Cmmm, No. 65
Crystal system: orthorhombic

The following is a GGA-PBE calculation of a relaxed structure of SrZrV2Sb, from the Alexandria database.

Lattice parameters (Å, degrees): 4.6911 4.6911 5.3877 90.00 90.00 90.00
Fractional positions:
Sr  0.0000  0.0000  0.0000
Zr  0.0000  0.0000  0.5000
V  0.0000  0.5000  0.0000
V  0.5000  0.0000  0.0000
Sb  0.5000  0.5000  0.5000

Values from the calculation:
Total magnetization in μB per cell: 3.2
Formation energy without anion corrections in eV/atom: 1.98
SG: P4/mmm, No. 123
Crystal system: tetragonal

The following is a GGA-PBE calculation of a relaxed structure of Tb4PrNd, from the Alexandria database.

Lattice parameters (Å, degrees): 6.6640 6.6640 6.6640 60.00 60.00 60.00
Fractional positions:
Tb  0.1251  0.1251  0.1251
Tb  0.1251  0.1251  0.6248
Tb  0.1251  0.6248  0.1251
Tb  0.6248  0.1251  0.1251
Pr  0.7500  0.7500  0.7500
Nd  0.5000  0.5000  0.5000

Values from the calculation:
Total magnetization in μB per cell: 1.4
Energy relative to the elements in eV per atom: 0.277
SG: F-43m, No. 216
Crystal system: cubic